Computed, not measured: Ca2MgMo after structural relaxation at the PBE level of DFT.

Output
**Volume**: 109.5 Å³/f.u.
**ΔH_f (0 K)**: 0.59 eV per atom
**Size of the total moment**: 2.93 μB/f.u.
**Fermi-level density of states**: 3.712 states/eV/f.u.

a = 3.6969 Å, b = 3.6969 Å, c = 8.0098 Å
α = 90.00°, β = 90.00°, γ = 90.00°
Last column: nearest neighbours and their distance in Å.
Sites, in units of the cell vectors:
Ca1 0.0000 0.0000 0.2218  4 Mo 3.16, 4 Mg 3.43
Ca2 0.0000 0.0000 0.7782  4 Mo 3.16, 4 Mg 3.43
Mg1 0.5000 0.5000 0.5000  8 Ca 3.43, 4 Mg 3.70
Mo1 0.5000 0.5000 0.0000  8 Ca 3.16

***

Computed, not measured: CaMg2Mo after structural relaxation at the PBE level of DFT.

Output
**Volume**: 85.1 Å³/f.u.
**ΔH_f (0 K)**: 0.49 eV per atom
**Size of the total moment**: 0.00 μB/f.u.
**Fermi-level density of states**: 2.413 states/eV/f.u.
**ΔE to the lowest computed polymorph**: 0.129 eV per atom

a = 5.4222 Å, b = 5.4222 Å, c = 3.0414 Å
α = 90.00°, β = 90.00°, γ = 107.90°
Last column: nearest neighbours and their distance in Å.
Sites, in units of the cell vectors:
Ca1 0.0000 0.0000 0.0000  2 Ca 3.04, 8 Mg 3.11, 2 Mo 3.19
Mg1 0.0000 0.5000 0.5000  4 Mg 3.04-3.19, 4 Mo 3.11, 4 Ca 3.11
Mg2 0.5000 0.0000 0.5000  4 Mg 3.04-3.19, 4 Mo 3.11, 4 Ca 3.11
Mo1 0.5000 0.5000 0.0000  2 Mo 3.04, 8 Mg 3.11, 2 Ca 3.19

***

Computed, not measured: CaMgMo3 after structural relaxation at the PBE level of DFT.

Output
**Volume**: 108.8 Å³/f.u.
**ΔH_f (0 K)**: 1.92 eV per atom
**Size of the total moment**: 2.27 μB/f.u.
**Fermi-level density of states**: 7.242 states/eV/f.u.
**ΔE to the lowest computed polymorph**: 0.000 eV per atom

a = 4.7739 Å, b = 4.7739 Å, c = 4.7739 Å
α = 90.00°, β = 90.00°, γ = 90.00°
Last column: nearest neighbours and their distance in Å.
Sites, in units of the cell vectors:
Ca1 0.0000 0.0000 0.0000  12 Mo 3.38
Mg1 0.5000 0.5000 0.5000  6 Mo 2.39
Mo1 0.0000 0.5000 0.5000  2 Mg 2.39
Mo2 0.5000 0.0000 0.5000  2 Mg 2.39
Mo3 0.5000 0.5000 0.0000  2 Mg 2.39

***

Computed, not measured: CaMgMo after structural relaxation at the PBE level of DFT.

Output
**Volume**: 65.7 Å³/f.u.
**ΔH_f (0 K)**: 0.64 eV per atom
**Size of the total moment**: 0.00 μB/f.u.
**Fermi-level density of states**: 3.458 states/eV/f.u.
**ΔE to the lowest computed polymorph**: 0.118 eV per atom

a = 5.8850 Å, b = 5.8850 Å, c = 5.8850 Å
α = 151.02°, β = 138.02°, γ = 51.82°
Last column: nearest neighbours and their distance in Å.
Sites, in units of the cell vectors:
Ca1 0.0000 0.0000 0.0000  2 Ca 2.95, 4 Mo 3.22, 5 Mg 3.24-3.29
Mg1 0.6938 0.6938 0.0000  4 Mo 2.88, 2 Mg 2.95
Mo1 0.3169 0.3169 0.0000  4 Mg 2.88, 2 Mo 2.95, 4 Ca 3.22

***

Computed, not measured: CaMgMo after structural relaxation at the PBE level of DFT.

Output
**Volume**: 89.2 Å³/f.u.
**ΔH_f (0 K)**: 1.47 eV per atom
**Size of the total moment**: 3.64 μB/f.u.
**Fermi-level density of states**: 3.920 states/eV/f.u.
**ΔE to the lowest computed polymorph**: 0.950 eV per atom

a = 5.0159 Å, b = 5.0159 Å, c = 5.0159 Å
α = 60.00°, β = 60.00°, γ = 60.00°
Last column: nearest neighbours and their distance in Å.
Sites, in units of the cell vectors:
Ca1 0.0000 0.0000 0.0000  4 Mo 3.07, 4 Mg 3.07
Mg1 0.2500 0.2500 0.2500  4 Ca 3.07
Mo1 0.7500 0.7500 0.7500  4 Ca 3.07

***

Computed, not measured: Ca2MgMo after structural relaxation at the PBE level of DFT.

Output
**Volume**: 100.0 Å³/f.u.
**ΔH_f (0 K)**: 0.67 eV per atom
**Size of the total moment**: 0.13 μB/f.u.
**Fermi-level density of states**: 4.206 states/eV/f.u.

a = 5.6312 Å, b = 5.6312 Å, c = 5.9371 Å
α = 99.97°, β = 99.97°, γ = 32.69°
Last column: nearest neighbours and their distance in Å.
Sites, in units of the cell vectors:
Ca1 0.2382 0.2382 0.2319  3 Mo 3.12-3.36, 4 Ca 3.17-3.23, 3 Mg 3.26-3.38
Ca2 0.7618 0.7618 0.7681  3 Mo 3.12-3.36, 4 Ca 3.17-3.23, 3 Mg 3.26-3.38
Mg1 0.0000 0.0000 0.5000  2 Mg 3.17, 6 Ca 3.26-3.38, 4 Mo 3.37
Mo1 0.5000 0.5000 0.0000  6 Ca 3.12-3.36, 2 Mo 3.17, 4 Mg 3.37

***

Computed, not measured: CaMgMo2 after structural relaxation at the PBE level of DFT.

Output
**Volume**: 75.3 Å³/f.u.
**ΔH_f (0 K)**: 0.57 eV per atom
**Size of the total moment**: 0.00 μB/f.u.
**Fermi-level density of states**: 3.314 states/eV/f.u.

a = 4.7394 Å, b = 4.7394 Å, c = 4.7394 Å
α = 60.00°, β = 60.00°, γ = 60.00°
Last column: nearest neighbours and their distance in Å.
Sites, in units of the cell vectors:
Ca1 0.0000 0.0000 0.0000  4 Mo 2.90, 4 Mg 2.90
Mg1 0.2500 0.2500 0.2500  4 Mo 2.90, 4 Ca 2.90
Mo1 0.5000 0.5000 0.5000  4 Mo 2.90, 4 Mg 2.90
Mo2 0.7500 0.7500 0.7500  4 Mo 2.90, 4 Ca 2.90

***

Computed, not measured: CaMg2Mo after structural relaxation at the PBE level of DFT.

Output
**Volume**: 87.0 Å³/f.u.
**ΔH_f (0 K)**: 0.36 eV per atom
**Size of the total moment**: 0.00 μB/f.u.
**Fermi-level density of states**: 3.358 states/eV/f.u.
**ΔE to the lowest computed polymorph**: 0.000 eV per atom

a = 2.9646 Å, b = 2.9646 Å, c = 9.8934 Å
α = 90.00°, β = 90.00°, γ = 90.10°
Last column: nearest neighbours and their distance in Å.
Sites, in units of the cell vectors:
Ca1 0.0000 0.0000 0.0000  4 Ca 2.96
Mg1 0.5000 0.5000 0.2875  4 Mg 2.96, 4 Mo 2.97
Mg2 0.5000 0.5000 0.7125  4 Mg 2.96, 4 Mo 2.97
Mo1 0.0000 0.0000 0.5000  4 Mo 2.96, 8 Mg 2.97